Record 1
A geometry-optimized TbEr2Zn2In2 structure, computed with PBE.

Cell: 9.3858 9.3858 9.3858 Å, 29.01 29.01 29.01°
Last column: nearest neighbours and their distance in Å.
Fractional positions:
Tb1 0.0000 0.0000 0.0000  6 Zn 3.23, 6 In 3.33, 2 Er 3.45
Er1 0.1279 0.1279 0.1279  3 In 3.11, 3 Zn 3.20, 3 Er 3.42, 1 Tb 3.45
Er2 0.8721 0.8721 0.8721  3 In 3.11, 3 Zn 3.20, 3 Er 3.42, 1 Tb 3.45
Zn1 0.3982 0.3982 0.3982  3 In 2.72
Zn2 0.6018 0.6018 0.6018  3 In 2.72
In1 0.2615 0.2615 0.2615  3 Zn 2.72
In2 0.7385 0.7385 0.7385  3 Zn 2.72

DFT total energy: -3.379 eV per atom
crystal system: trigonal

=====

Record 2
A geometry-optimized TbErZnIn structure, computed with PBE.

Cell: 5.1873 5.1873 5.1873 Å, 60.00 60.00 60.00°
Last column: nearest neighbours and their distance in Å.
Fractional positions:
Tb1 0.0000 0.0000 0.0000  4 In 3.18, 4 Zn 3.18
Er1 0.5000 0.5000 0.5000  4 In 3.18, 4 Zn 3.18
Zn1 0.7500 0.7500 0.7500  4 Er 3.18, 4 Tb 3.18
In1 0.2500 0.2500 0.2500  4 Tb 3.18, 4 Er 3.18

DFT total energy: -3.695 eV per atom
crystal system: cubic

=====

Record 3
A geometry-optimized TbErZnIn structure, computed with PBE.

Cell: 3.6309 3.6309 7.4224 Å, 90.00 90.00 90.00°
Last column: nearest neighbours and their distance in Å.
Fractional positions:
Tb1 0.0000 0.0000 0.0000  4 Zn 3.11, 4 In 3.27, 1 Er 3.42
Er1 0.0000 0.0000 0.5394  4 Zn 3.06, 4 In 3.24, 1 Tb 3.42
Zn1 0.5000 0.5000 0.7626  4 Er 3.06, 4 Tb 3.11
In1 0.5000 0.5000 0.2738  4 Er 3.24, 4 Tb 3.27

DFT total energy: -3.717 eV per atom
crystal system: tetragonal

=====

Record 4
A geometry-optimized TbErZrIn structure, computed with PBE.

Cell: 5.3285 5.3285 5.3285 Å, 60.00 60.00 60.00°
Last column: nearest neighbours and their distance in Å.
Fractional positions:
Tb1 0.0000 0.0000 0.0000  4 In 3.26, 4 Zr 3.26
Er1 0.5000 0.5000 0.5000  4 In 3.26, 4 Zr 3.26
Zr1 0.2500 0.2500 0.2500  4 Tb 3.26, 4 Er 3.26
In1 0.7500 0.7500 0.7500  4 Tb 3.26, 4 Er 3.26

DFT total energy: -5.192 eV per atom
crystal system: cubic

=====

Record 5
A geometry-optimized Er6InTc structure, computed with PBE.

Cell: 6.7570 6.8299 7.4087 Å, 90.74 116.15 119.65°
Last column: nearest neighbours and their distance in Å.
Fractional positions:
Er1 0.0476 0.0823 0.2591  1 Tc 2.66
Er2 0.2942 0.7105 0.2580  1 Tc 2.66
Er3 0.3163 0.5314 0.7431  1 Tc 2.66
Er4 0.6837 0.4686 0.2569  1 Tc 2.66
Er5 0.7058 0.2895 0.7420  1 Tc 2.66
Er6 0.9524 0.9177 0.7409  1 Tc 2.66
In1 0.5000 0.0000 0.0000  6 Er 3.04-3.06
Tc1 0.5000 0.5000 0.5000  6 Er 2.66

DFT total energy: -4.930 eV per atom
crystal system: triclinic

=====

Record 6
A geometry-optimized Er7In2Tc2 structure, computed with PBE.

Cell: 6.5830 6.5830 7.5761 Å, 90.00 90.00 113.28°
Last column: nearest neighbours and their distance in Å.
Fractional positions:
Er1 0.0000 0.0000 0.0000  2 Tc 3.26
Er2 0.0000 0.5000 0.2685  2 Tc 2.77
Er3 0.0000 0.5000 0.7315  2 Tc 2.77
Er4 0.5000 0.0000 0.2685  2 Tc 2.77
Er5 0.5000 0.0000 0.7315  2 Tc 2.77
Er6 0.5000 0.5000 0.2153  2 Tc 2.77
Er7 0.5000 0.5000 0.7847  2 Tc 2.77
In1 0.1915 0.1915 0.5000  1 In 2.77, 2 Er 3.10
In2 0.8085 0.8085 0.5000  1 In 2.77, 2 Er 3.10
Tc1 0.2967 0.7033 0.0000  6 Er 2.77
Tc2 0.7033 0.2967 0.0000  6 Er 2.77

DFT total energy: -5.367 eV per atom
crystal system: orthorhombic

=====

Listing formation energy from the elements for the structures above in their given order: -0.267; -0.393; -0.415; -0.072; 0.131; -0.081 eV/atom.